i | Below is a relaxed structure of Ca3GeAs3, with properties calculated at the PBE level.

Structure (POSCAR):
```
Ca3GeAs3
1.0
9.327 -3.191 0.000
9.327 3.191 0.000
0.000 0.000 12.258
Ca Ge As
12 4 12
direct
0.008 0.640 0.132
0.140 0.508 0.632
0.188 0.812 0.857
0.312 0.688 0.357
0.360 0.992 0.132
0.492 0.860 0.632
0.508 0.140 0.368
0.640 0.008 0.868
0.688 0.312 0.643
0.812 0.188 0.143
0.860 0.492 0.368
0.992 0.360 0.868
0.088 0.088 0.500
0.412 0.412 0.000
0.588 0.588 0.000
0.912 0.912 0.500
0.053 0.618 0.376
0.118 0.553 0.876
0.227 0.773 0.617
0.273 0.727 0.117
0.382 0.947 0.376
0.447 0.882 0.876
0.553 0.118 0.124
0.618 0.053 0.624
0.727 0.273 0.883
0.773 0.227 0.383
0.882 0.447 0.124
0.947 0.382 0.624
```

The space-group type is Cmce (64). The density of states at the Fermi level comes out at 0.320 states/eV/atom. The calculation puts the volume at 26.06 Å³/atom.



ii | Below is a relaxed structure of Ca3GeAs3, with properties calculated at the PBE level.

Structure (POSCAR):
```
Ca3GeAs3
1.0
8.741 0.000 0.000
-4.370 7.570 0.000
0.000 0.000 5.927
Ca Ge As
6 2 6
direct
0.075 0.381 0.250
0.307 0.925 0.250
0.381 0.307 0.750
0.619 0.693 0.250
0.693 0.075 0.750
0.925 0.619 0.750
0.333 0.667 0.750
0.667 0.333 0.250
0.079 0.370 0.750
0.291 0.921 0.750
0.370 0.291 0.250
0.630 0.709 0.750
0.709 0.079 0.250
0.921 0.630 0.250
```

The space-group type is P6_3/m (176). The density of states at the Fermi level comes out at 0.460 states/eV/atom. The calculation puts the volume at 28.01 Å³/atom.



Q: What are the energies relative to the best structure? A: i 0.0; ii 4.0, in kJ/mol of atoms.



i | Below is a relaxed structure of CaGeAs3, with properties calculated at the PBE level.

Structure (POSCAR):
```
CaGeAs3
1.0
5.295 0.000 0.000
0.000 5.295 0.000
0.000 0.000 5.295
Ca Ge As
1 1 3
direct
0.000 0.000 0.000
0.500 0.500 0.500
0.000 0.000 0.500
0.000 0.500 0.000
0.500 0.000 0.000
```

The space-group type is Pm-3m (221). The density of states at the Fermi level comes out at 0.948 states/eV/atom. The calculation puts the volume at 29.69 Å³/atom.



ii | Below is a relaxed structure of CaGeAs3, with properties calculated at the PBE level.

Structure (POSCAR):
```
CaGeAs3
1.0
5.009 0.000 0.000
0.000 5.009 0.000
0.000 0.000 5.009
Ca Ge As
1 1 3
direct
0.000 0.000 0.000
0.500 0.500 0.500
0.000 0.500 0.500
0.500 0.000 0.500
0.500 0.500 0.000
```

The space-group type is Pm-3m (221). The density of states at the Fermi level comes out at 0.974 states/eV/atom. The calculation puts the volume at 25.13 Å³/atom.



Q: What are the energies relative to the best structure? A: i 72.1; ii 0.0, in kJ/mol of atoms.



i | Below is a relaxed structure of Ca2Ge2As, with properties calculated at the PBE level.

Structure (POSCAR):
```
Ca2Ge2As
1.0
5.185 0.000 0.000
0.000 5.185 0.000
0.000 0.000 10.441
Ca Ge As
4 4 2
direct
0.000 0.500 0.250
0.000 0.500 0.750
0.500 0.000 0.250
0.500 0.000 0.750
0.000 0.000 0.109
0.000 0.000 0.891
0.500 0.500 0.391
0.500 0.500 0.609
0.000 0.000 0.500
0.500 0.500 0.000
```

The space-group type is I4/mmm (139). The density of states at the Fermi level comes out at 0.918 states/eV/atom. The calculation puts the volume at 28.07 Å³/atom.



ii | Below is a relaxed structure of Ca2Ge2As, with properties calculated at the PBE level.

Structure (POSCAR):
```
Ca2Ge2As
1.0
7.337 0.000 0.000
0.000 7.337 0.000
0.000 0.000 4.379
Ca Ge As
4 4 2
direct
0.178 0.322 0.000
0.322 0.822 0.000
0.678 0.178 0.000
0.822 0.678 0.000
0.122 0.622 0.500
0.378 0.122 0.500
0.622 0.878 0.500
0.878 0.378 0.500
0.000 0.000 0.500
0.500 0.500 0.500
```

The space-group type is P4/mbm (127). The density of states at the Fermi level comes out at 0.351 states/eV/atom. The calculation puts the volume at 23.57 Å³/atom.



Q: What are the energies relative to the best structure? A: i 54.8; ii 0.0, in kJ/mol of atoms.



i | Below is a relaxed structure of CaGeAsSe2, with properties calculated at the PBE level.

Structure (POSCAR):
```
CaGeAsSe2
1.0
5.297 0.000 0.000
0.000 5.297 0.000
0.000 0.000 4.751
Ca Ge As Se
1 1 1 2
direct
0.000 0.000 0.000
0.500 0.500 0.000
0.500 0.500 0.500
0.000 0.500 0.500
0.500 0.000 0.500
```

The space-group type is P4/mmm (123). The density of states at the Fermi level comes out at 0.611 states/eV/atom. The calculation puts the volume at 26.66 Å³/atom.



ii | Below is a relaxed structure of CaGeAsSe2, with properties calculated at the PBE level.

Structure (POSCAR):
```
CaGeAsSe2
1.0
5.365 0.000 0.000
0.000 5.365 0.000
0.000 0.000 5.353
Ca Ge As Se
1 1 1 2
direct
0.000 0.000 0.000
0.500 0.500 0.500
0.000 0.000 0.500
0.000 0.500 0.000
0.500 0.000 0.000
```

The space-group type is P4/mmm (123). The density of states at the Fermi level comes out at 1.232 states/eV/atom. The calculation puts the volume at 30.81 Å³/atom.



iii | Below is a relaxed structure of CaGeAsSe2, with properties calculated at the PBE level.

Structure (POSCAR):
```
CaGeAsSe2
1.0
5.135 0.000 0.000
0.000 5.135 0.000
0.000 0.000 4.877
Ca Ge As Se
1 1 1 2
direct
0.000 0.000 0.000
0.500 0.500 0.500
0.500 0.500 0.000
0.000 0.500 0.500
0.500 0.000 0.500
```

The space-group type is P4/mmm (123). The density of states at the Fermi level comes out at 0.899 states/eV/atom. The calculation puts the volume at 25.72 Å³/atom.



Q: What are the energies relative to the best structure? A: i 9.2; ii 65.8; iii 0.0, in kJ/mol of atoms.



i | Below is a relaxed structure of Ca3As2H, with properties calculated at the PBE level.

Structure (POSCAR):
```
Ca3As2H
1.0
3.711 0.000 0.000
0.000 4.737 0.000
0.000 0.000 16.210
Ca As H
6 4 2
direct
0.000 0.000 0.000
0.000 0.500 0.166
0.000 0.500 0.834
0.500 0.000 0.334
0.500 0.000 0.666
0.500 0.500 0.500
0.000 0.500 0.352
0.000 0.500 0.648
0.500 0.000 0.148
0.500 0.000 0.852
0.000 0.500 0.000
0.500 0.000 0.500
```

The space-group type is Immm (71). The density of states at the Fermi level comes out at 0.431 states/eV/atom. The calculation puts the volume at 23.75 Å³/atom.



ii | Below is a relaxed structure of Ca3As2H, with properties calculated at the PBE level.

Structure (POSCAR):
```
Ca3As2H
1.0
8.620 0.000 0.000
0.000 3.832 0.000
0.000 0.000 16.769
Ca As H
12 8 4
direct
0.010 0.250 0.104
0.117 0.250 0.581
0.187 0.750 0.275
0.313 0.250 0.775
0.383 0.750 0.081
0.490 0.750 0.604
0.510 0.250 0.396
0.617 0.250 0.919
0.687 0.750 0.225
0.813 0.250 0.725
0.883 0.750 0.419
0.990 0.750 0.896
0.077 0.750 0.719
0.250 0.250 0.958
0.250 0.750 0.458
0.423 0.250 0.219
0.577 0.750 0.781
0.750 0.250 0.542
0.750 0.750 0.042
0.923 0.250 0.281
0.137 0.750 0.135
0.363 0.250 0.635
0.637 0.750 0.365
0.863 0.250 0.865
```

The space-group type is Pnma (62). The density of states at the Fermi level comes out at 0.372 states/eV/atom. The calculation puts the volume at 23.08 Å³/atom.



Q: What are the energies relative to the best structure? A: i 4.0; ii 0.0, in kJ/mol of atoms.



i | Below is a relaxed structure of Ca2AsH2, with properties calculated at the PBE level.

Structure (POSCAR):
```
Ca2AsH2
1.0
3.641 0.000 0.000
0.000 3.641 0.000
0.000 0.000 12.852
Ca As H
4 2 4
direct
0.000 0.000 0.147
0.000 0.000 0.853
0.500 0.500 0.353
0.500 0.500 0.647
0.000 0.000 0.500
0.500 0.500 0.000
0.000 0.500 0.250
0.000 0.500 0.750
0.500 0.000 0.250
0.500 0.000 0.750
```

The space-group type is I4/mmm (139). The density of states at the Fermi level comes out at 0.142 states/eV/atom. The calculation puts the volume at 17.04 Å³/atom.



ii | Below is a relaxed structure of Ca2AsH2, with properties calculated at the PBE level.

Structure (POSCAR):
```
Ca2AsH2
1.0
3.546 0.000 0.000
0.000 3.546 0.000
0.000 0.000 6.839
Ca As H
2 1 2
direct
0.000 0.000 0.221
0.000 0.000 0.779
0.500 0.500 0.500
0.000 0.500 0.000
0.500 0.000 0.000
```

The space-group type is P4/mmm (123). The density of states at the Fermi level comes out at 0.262 states/eV/atom. The calculation puts the volume at 17.20 Å³/atom.



Q: What are the energies relative to the best structure? A: i 0.0; ii 13.5, in kJ/mol of atoms.



i | Below is a relaxed structure of CaAs3H, with properties calculated at the PBE level.

Structure (POSCAR):
```
CaAs3H
1.0
4.442 0.000 0.000
0.000 4.442 0.000
0.000 0.000 4.442
Ca As H
1 3 1
direct
0.000 0.000 0.000
0.000 0.500 0.500
0.500 0.000 0.500
0.500 0.500 0.000
0.500 0.500 0.500
```

The space-group type is Pm-3m (221). The density of states at the Fermi level comes out at 0.429 states/eV/atom. The calculation puts the volume at 17.53 Å³/atom.



ii | Below is a relaxed structure of CaAs3H, with properties calculated at the PBE level.

Structure (POSCAR):
```
CaAs3H
1.0
5.432 0.000 0.000
0.000 5.432 0.000
0.000 0.000 5.432
Ca As H
1 3 1
direct
0.000 0.000 0.000
0.000 0.000 0.500
0.000 0.500 0.000
0.500 0.000 0.000
0.500 0.500 0.500
```

The space-group type is Pm-3m (221). The density of states at the Fermi level comes out at 0.767 states/eV/atom. The calculation puts the volume at 32.06 Å³/atom.



Q: What are the energies relative to the best structure? A: i 0.0; ii 122.1, in kJ/mol of atoms.



i | Below is a relaxed structure of CaAsH, with properties calculated at the PBE level.

Structure (POSCAR):
```
CaAsH
1.0
8.105 0.000 0.000
0.000 7.760 0.000
-2.380 0.000 3.697
Ca As H
4 4 4
direct
0.000 0.225 0.000
0.000 0.775 0.000
0.500 0.275 0.000
0.500 0.725 0.000
0.183 0.000 0.680
0.317 0.500 0.320
0.683 0.500 0.680
0.817 0.000 0.320
0.057 0.500 0.556
0.443 0.000 0.444
0.557 0.000 0.556
0.943 0.500 0.444
```

The space-group type is C2/m (12). The density of states at the Fermi level comes out at 0.089 states/eV/atom. The calculation puts the volume at 19.38 Å³/atom.



ii | Below is a relaxed structure of CaAsH, with properties calculated at the PBE level.

Structure (POSCAR):
```
CaAsH
1.0
6.954 0.000 0.000
0.000 7.745 0.000
0.000 0.000 4.392
Ca As H
4 4 4
direct
0.000 0.000 0.000
0.000 0.500 0.000
0.500 0.000 0.500
0.500 0.500 0.500
0.162 0.250 0.454
0.338 0.750 0.954
0.662 0.250 0.046
0.838 0.750 0.546
0.027 0.750 0.349
0.473 0.250 0.849
0.527 0.750 0.151
0.973 0.250 0.651
```

The space-group type is Pnma (62). The density of states at the Fermi level comes out at 0.000 states/eV/atom. The calculation puts the volume at 19.71 Å³/atom.



iii | Below is a relaxed structure of CaAsH, with properties calculated at the PBE level.

Structure (POSCAR):
```
CaAsH
1.0
4.154 0.000 0.000
0.000 4.548 0.000
-0.850 0.000 6.080
Ca As H
2 2 2
direct
0.236 0.250 0.256
0.764 0.750 0.744
0.275 0.250 0.765
0.725 0.750 0.235
0.054 0.750 0.396
0.946 0.250 0.604
```

The space-group type is P2_1/m (11). The density of states at the Fermi level comes out at 0.005 states/eV/atom. The calculation puts the volume at 19.15 Å³/atom.



Q: What are the energies relative to the best structure? A: i 5.6; ii 2.4; iii 0.0, in kJ/mol of atoms.